1.
Computed, not measured: a geometry-optimized Pr6HoTm2 structure at the GGA-PBE level of DFT.

CIF file:
```
data_Pr6HoTm2
_chemical_formula_sum 'Pr12 Ho2 Tm4'
_cell_length_a 9.455
_cell_length_b 17.786
_cell_length_c 3.681
_cell_angle_alpha 90.00
_cell_angle_beta 90.00
_cell_angle_gamma 90.00
_space_group_name_H-M_alt 'C m m m'
_space_group_IT_number 65
_space_group_name_Hall '-C 2 2'
loop_
_atom_site_label
_atom_site_fract_x
_atom_site_fract_y
_atom_site_fract_z
_atom_site_occupancy
Pr1 0.175 0.166 0.000 1
Pr2 0.184 0.000 0.500 1
Ho1 0.000 0.500 0.000 1
Tm1 0.000 0.325 0.500 1
```

Results
Formation energy   0.129 eV per atom

2.
Computed, not measured: a geometry-optimized Pr5Ho3Tm2 structure at the GGA-PBE level of DFT.

CIF file:
```
data_Pr5Ho3Tm2
_chemical_formula_sum 'Pr20 Ho12 Tm8'
_cell_length_a 10.742
_cell_length_b 14.912
_cell_length_c 10.064
_cell_angle_alpha 90.00
_cell_angle_beta 122.24
_cell_angle_gamma 90.00
_space_group_name_H-M_alt 'C 1 2/c 1'
_space_group_IT_number 15
loop_
_space_group_symop_operation_xyz
'x,y,z'
'-x,-y,-z'
'-x,y,-z+1/2'
'x,-y,z+1/2'
'x+1/2,y+1/2,z'
'-x+1/2,-y+1/2,-z'
'-x+1/2,y+1/2,-z+1/2'
'x+1/2,-y+1/2,z+1/2'
loop_
_atom_site_label
_atom_site_fract_x
_atom_site_fract_y
_atom_site_fract_z
_atom_site_occupancy
Pr1 0.000 0.018 0.250 1
Pr2 0.000 0.228 0.250 1
Pr3 0.000 0.478 0.750 1
Pr4 0.248 0.369 0.242 1
Ho1 0.000 0.272 0.750 1
Ho2 0.155 0.375 0.558 1
Tm1 0.153 0.129 0.059 1
```

Results
Formation energy   0.172 eV per atom

3.
Computed, not measured: a geometry-optimized PrHo12Tm2 structure at the GGA-PBE level of DFT.

CIF file:
```
data_PrHo12Tm2
_chemical_formula_sum 'Pr1 Ho12 Tm2'
_cell_length_a 3.545
_cell_length_b 5.537
_cell_length_c 24.206
_cell_angle_alpha 90.00
_cell_angle_beta 94.17
_cell_angle_gamma 90.00
_space_group_name_H-M_alt 'P 1 2/m 1'
_space_group_IT_number 10
loop_
_space_group_symop_operation_xyz
'x,y,z'
'-x,-y,-z'
'-x,y,-z'
'x,-y,z'
loop_
_atom_site_label
_atom_site_fract_x
_atom_site_fract_y
_atom_site_fract_z
_atom_site_occupancy
Pr1 0.000 0.000 0.000 1
Ho1 0.068 0.000 0.140 1
Ho2 0.098 0.500 0.203 1
Ho3 0.165 0.500 0.331 1
Ho4 0.215 0.000 0.425 1
Ho5 0.275 0.500 0.555 1
Ho6 0.464 0.500 0.924 1
Tm1 0.366 0.000 0.728 1
```

Results
Formation energy   0.114 eV per atom